No. 1
Compound: CdInCo
Source: Alexandria via LeMat-Bulk
Functional: PBE-GGA
Structure: relaxed

Cell and atoms, written as POSCAR:
```
CdInCo
1.0
-4.303 2.332 2.378
1.939 -4.411 2.529
3.870 3.581 -0.082
In Co Cd
2 2 2
direct
0.249 0.751 0.000
0.751 0.249 0.000
0.750 0.250 0.500
0.250 0.750 0.500
0.750 0.750 0.499
0.250 0.250 0.501
```

Calculated values
Symmetry = Fmmm, No. 69
Volume = 19.6 Å³/atom
Raw total energy = -10.5 eV/f.u.
Energy relative to the elements = 0.071 eV per atom

No. 2
Compound: Pm2Pr5Tm6
Source: Alexandria via LeMat-Bulk
Functional: PBE-GGA
Structure: relaxed

Cell and atoms, written as POSCAR:
```
Pm2Pr5Tm6
1.0
3.606 0.000 0.000
0.000 11.713 0.000
0.000 0.000 20.606
Tm Pr Pm
12 10 4
direct
0.500 0.820 0.369
0.000 0.563 0.423
0.500 0.320 0.131
0.000 0.925 0.635
0.000 0.425 0.865
0.000 0.075 0.365
0.000 0.063 0.077
0.500 0.180 0.631
0.000 0.937 0.923
0.500 0.680 0.869
0.000 0.575 0.135
0.000 0.437 0.577
0.500 0.300 0.448
0.500 0.800 0.052
0.500 0.500 0.000
0.500 0.000 0.500
0.500 0.915 0.778
0.500 0.200 0.948
0.500 0.585 0.278
0.500 0.700 0.552
0.500 0.415 0.722
0.500 0.085 0.222
0.000 0.327 0.283
0.000 0.827 0.217
0.000 0.673 0.717
0.000 0.173 0.783
```

Calculated values
Symmetry = Pbam, No. 55
Volume = 33.5 Å³/atom
Raw total energy = -59.0 eV/f.u.
Energy relative to the elements = 0.097 eV per atom

No. 3
Compound: Ag2RuBr
Source: Alexandria via LeMat-Bulk
Functional: PBE-GGA
Structure: relaxed

Cell and atoms, written as POSCAR:
```
Ag2RuBr
1.0
5.024 -0.054 0.000
1.307 4.851 0.000
-3.166 -2.398 3.077
Ru Br Ag
1 1 2
direct
0.750 0.250 0.500
0.500 0.500 0.000
0.250 0.750 0.500
0.000 0.000 0.000
```

Calculated values
Symmetry = I-4m2, No. 119
Raw formation energy = 3.1 eV/f.u.
Volume = 18.8 Å³/atom
Raw total energy = -13.5 eV/f.u.

No. 4
Compound: CuAg3Pd12
Source: Alexandria via LeMat-Bulk
Functional: PBE-GGA
Structure: relaxed

Cell and atoms, written as POSCAR:
```
CuAg3Pd12
1.0
-1.986 -3.061 1.585
1.639 0.771 3.543
-12.076 9.642 3.488
Pd Ag Cu
12 3 1
direct
0.500 0.000 0.118
0.500 0.000 0.373
0.000 0.500 0.118
0.000 0.500 0.373
0.500 0.500 0.500
0.500 0.000 0.627
0.500 0.500 0.755
0.000 0.500 0.882
0.500 0.000 0.882
0.000 0.500 0.627
0.500 0.500 0.000
0.500 0.500 0.245
0.000 0.000 0.754
0.000 0.000 0.246
0.000 0.000 0.500
0.000 0.000 0.000
```

Calculated values
Symmetry = P4/mmm, No. 123
Volume = 15.7 Å³/atom
Raw total energy = -75.3 eV/f.u.
Energy relative to the elements = -0.023 eV per atom

No. 5
Compound: Tl2IBr8
Source: Alexandria via LeMat-Bulk
Functional: PBE-GGA
Structure: relaxed

Cell and atoms, written as POSCAR:
```
Tl2IBr8
1.0
6.835 -0.501 -2.622
-1.132 7.675 -4.416
0.123 0.013 9.014
Tl Br I
2 8 1
direct
0.703 0.209 0.419
0.297 0.791 0.581
0.735 0.885 0.248
0.800 0.385 0.770
0.265 0.115 0.752
0.723 0.825 0.651
0.277 0.175 0.349
0.265 0.637 0.752
0.200 0.615 0.230
0.735 0.363 0.248
0.000 0.000 0.000
```

Calculated values
Symmetry = C2/m, No. 12
Raw formation energy = -2.9 eV/f.u.
Volume = 42.8 Å³/atom
Raw total energy = -22.6 eV/f.u.

No. 6
Compound: ZrH2Ir2
Source: Alexandria via LeMat-Bulk
Functional: PBE-GGA
Structure: relaxed

Cell and atoms, written as POSCAR:
```
ZrH2Ir2
1.0
-4.991 0.117 3.320
2.558 -3.688 3.975
1.213 2.703 1.728
H Ir Zr
4 4 2
direct
0.204 0.704 0.000
0.296 0.204 0.000
0.796 0.296 0.000
0.704 0.796 0.000
0.852 0.352 0.500
0.352 0.148 0.500
0.648 0.852 0.500
0.148 0.648 0.500
0.000 0.000 0.000
0.500 0.500 0.000
```

Calculated values
Symmetry = P4/mbm, No. 127
Volume = 12.3 Å³/atom
Raw total energy = -34.0 eV/f.u.